[1]
{"formula": "Cu2H6IrPt", "functional": "PBE", "state": "optimized geometry", "lattice": [[0.000, 3.469, 3.469], [3.469, 0.000, 3.469], [3.469, 3.469, 0.000]], "species": ["Cu", "Cu", "H", "H", "H", "H", "H", "H", "Ir", "Pt"], "frac_coords": [[0.250, 0.250, 0.250], [0.750, 0.750, 0.750], [0.247, 0.247, 0.753], [0.247, 0.753, 0.247], [0.247, 0.753, 0.753], [0.753, 0.247, 0.247], [0.753, 0.247, 0.753], [0.753, 0.753, 0.247], [0.000, 0.000, 0.000], [0.500, 0.500, 0.500]], "energy_ev_per_atom": -4.05, "total_magnetization_mub_per_fu": 0.00, "space_group": "Fm-3m (225)"}

***

[2]
{"formula": "HfTe2MoAs2", "functional": "PBE", "state": "optimized geometry", "lattice": [[-1.813, 2.700, 6.596], [1.813, -2.700, 6.596], [1.813, 2.700, -6.596]], "species": ["Hf", "Te", "Te", "Mo", "As", "As"], "frac_coords": [[0.000, 0.000, 0.000], [0.404, 0.904, 0.500], [0.823, 0.323, 0.500], [0.230, 0.230, 0.000], [0.372, 0.624, 0.747], [0.877, 0.624, 0.253]], "energy_ev_per_atom": -6.46, "total_magnetization_mub_per_fu": 0.00, "space_group": "Imm2 (44)"}

***

[3]
{"formula": "SrMoP6", "functional": "PBE", "state": "optimized geometry", "lattice": [[4.534, 2.618, 1.980], [-4.534, 2.618, 1.980], [0.000, -5.235, 1.980]], "species": ["Sr", "Mo", "P", "P", "P", "P", "P", "P"], "frac_coords": [[0.000, 0.000, 0.000], [0.500, 0.500, 0.500], [0.104, 0.595, 0.257], [0.257, 0.104, 0.595], [0.405, 0.743, 0.896], [0.595, 0.257, 0.104], [0.743, 0.896, 0.405], [0.896, 0.405, 0.743]], "energy_ev_per_atom": -5.58, "total_magnetization_mub_per_fu": 0.00, "space_group": "R-3 (148)"}

***

[4]
{"formula": "Sc2Ge3W4N3", "functional": "PBE", "state": "optimized geometry", "lattice": [[4.749, -2.777, 0.000], [4.749, 2.777, 0.000], [-3.113, 0.000, 12.602]], "species": ["Sc", "Sc", "Sc", "Sc", "Ge", "Ge", "Ge", "Ge", "Ge", "Ge", "W", "W", "W", "W", "W", "W", "W", "W", "N", "N", "N", "N", "N", "N"], "frac_coords": [[0.033, 0.863, 0.603], [0.137, 0.967, 0.897], [0.863, 0.033, 0.103], [0.967, 0.137, 0.397], [0.080, 0.295, 0.749], [0.295, 0.080, 0.249], [0.458, 0.542, 0.750], [0.542, 0.458, 0.250], [0.705, 0.920, 0.751], [0.920, 0.705, 0.251], [0.193, 0.377, 0.083], [0.319, 0.456, 0.418], [0.377, 0.193, 0.583], [0.456, 0.319, 0.918], [0.544, 0.681, 0.082], [0.623, 0.807, 0.417], [0.681, 0.544, 0.582], [0.807, 0.623, 0.917], [0.000, 0.500, 0.500], [0.155, 0.692, 0.000], [0.308, 0.845, 0.500], [0.500, 0.000, 0.000], [0.692, 0.155, 0.500], [0.845, 0.308, 0.000]], "energy_ev_per_atom": -9.00, "total_magnetization_mub_per_fu": 0.00, "space_group": "C2/c (15)"}

***

[5]
{"formula": "LuScFeAs", "functional": "PBE", "state": "optimized geometry", "lattice": [[0.000, 3.228, 3.228], [3.228, 0.000, 3.228], [3.228, 3.228, 0.000]], "species": ["Lu", "Sc", "Fe", "As"], "frac_coords": [[0.000, 0.000, 0.000], [0.250, 0.250, 0.250], [0.750, 0.750, 0.750], [0.500, 0.500, 0.500]], "total_magnetization_mub_per_fu": 0.11, "de_polymorph_mev_per_atom": 0, "space_group": "F-43m (216)"}

***

[6]
{"formula": "TbAgOs", "functional": "PBE", "state": "optimized geometry", "lattice": [[0.000, 3.249, 3.249], [3.249, 0.000, 3.249], [3.249, 3.249, 0.000]], "species": ["Tb", "Ag", "Os"], "frac_coords": [[0.000, 0.000, 0.000], [0.500, 0.500, 0.500], [0.750, 0.750, 0.750]], "total_magnetization_mub_per_fu": 0.11, "de_polymorph_mev_per_atom": 0, "e_form_kj_per_mol_atoms": 56.9, "space_group": "F-43m (216)"}